The following is a PBE calculation of crystalline DyHo8Er2 at its relaxed geometry, from Alexandria.

Output
V = 352.3 Å³ per cell
total moment = 0.00 μB per formula unit
E_form = 231 kJ/mol of formula units
space-group type = C2/m (12)

Structure (extended XYZ):
```
11
Lattice="8.538 -3.326 0.000 8.538 3.326 0.000 -1.535 0.000 6.204" Properties=species:S:1:pos:R:3 pbc="T T T"
Dy 0.000 0.000 0.000
Ho 6.083 1.630 3.376
Ho 3.386 0.000 1.069
Ho 9.458 1.630 2.828
Ho 6.983 0.000 0.527
Ho 8.559 0.000 5.676
Ho 6.083 -1.630 3.376
Ho 12.156 0.000 5.135
Ho 9.458 -1.630 2.828
Er 3.314 0.000 4.314
Er 12.227 0.000 1.889
```

The following is a PBE calculation of crystalline DyHo6Er2 at its relaxed geometry, from Alexandria.

Output
V = 307.0 Å³ per cell
total moment = 0.00 μB per formula unit
E_form = 347 kJ/mol of formula units
space-group type = R3m (160)

Structure (extended XYZ):
```
9
Lattice="3.455 1.995 7.423 -3.455 1.995 7.423 0.000 -3.990 7.423" Properties=species:S:1:pos:R:3 pbc="T T T"
Dy 0.000 0.000 0.000
Ho 0.000 -2.025 4.995
Ho -1.754 1.012 4.995
Ho 0.000 -1.948 9.866
Ho -1.687 0.974 9.866
Ho 1.754 1.012 4.995
Ho 1.687 0.974 9.866
Er 0.000 0.000 13.061
Er 0.000 0.000 16.747
```